20
Lattice="-0.929 -3.989 -6.614 7.145 -1.260 2.806 -5.282 -2.346 5.207" Properties=species:S:1:pos:R:3 comment="PBE+U CsK4V3F12, relaxed" space_group="No. 229" total_energy_ev_per_atom=-5.16 m_tot_mub_per_cell=8.00 pbc="T T T"
F 4.441 -3.750 -2.720
F 2.486 -3.115 3.055
F -1.774 -1.809 -0.402
F 1.775 -1.499 -1.087
F -0.621 -3.387 3.655
F 1.555 -4.208 -2.256
F -1.552 -4.480 -1.655
F -4.437 -4.526 -1.005
F 1.332 -2.576 5.725
F -2.640 -4.069 1.300
F 0.532 -1.030 2.288
F 3.574 -3.526 0.099
K -0.465 -1.994 -3.307
K -2.641 -1.173 2.604
K 0.467 -3.798 0.700
K 3.573 -0.630 1.403
Cs 0.000 0.000 0.000
V 0.932 -1.803 4.007
V 3.108 -2.624 -1.904
V -3.106 -3.168 -0.703